NaCoAg3 | PBE | relaxed

Lattice parameters (Å, degrees): 4.9053 4.9053 4.9053 90.00 90.00 90.00
With the nearest neighbours (Å) after each atom.
Fractional coordinates of all 5 atoms:
Na1 0.0000 0.0000 0.0000  12 Ag 3.47
Co1 0.5000 0.5000 0.5000  6 Ag 2.45
Ag1 0.0000 0.5000 0.5000  2 Co 2.45
Ag2 0.5000 0.0000 0.5000  2 Co 2.45
Ag3 0.5000 0.5000 0.0000  2 Co 2.45

Values from the calculation:
ΔE_f, eV per atom: 0.6029
VASP energy, eV/cell: -13.96
N(E_F), states/eV per cell: 4.83